Entry 1:
Density functional theory data (PBE-GGA) for crystalline SmDyCd6 at its relaxed geometry.

Values from the calculation:
**Formation enthalpy at 0 K**: -27.96 kJ/mol of atoms
**M_tot**: 0.0 μB per formula unit
**N(E_F)**: 0.47 states/eV per atom

Lattice parameters (Å, degrees): 4.909 6.572 6.572 113.98 90.00 90.00
Atoms (fractional coordinates):
Sm  0.500  0.388  0.612
Dy  0.000  0.112  0.888
Cd  0.000  0.058  0.373
Cd  0.000  0.627  0.942
Cd  0.000  0.578  0.422
Cd  0.500  0.438  0.126
Cd  0.500  0.874  0.562
Cd  0.500  0.924  0.076

***

Entry 2:
Density functional theory data (PBE-GGA) for crystalline Sm6Dy3Cd at its relaxed geometry.

Values from the calculation:
**Formation enthalpy at 0 K**: 4.62 kJ/mol of atoms
**M_tot**: 0.0 μB per formula unit
**E above lowest polymorph**: 6.5 kJ/mol of atoms
**N(E_F)**: 1.26 states/eV per atom

Lattice parameters (Å, degrees): 6.371 11.329 11.329 128.62 90.00 90.00
Atoms (fractional coordinates):
Sm  0.054  0.739  0.627
Sm  0.554  0.627  0.739
Sm  0.337  0.467  0.900
Sm  0.837  0.900  0.467
Sm  0.321  0.979  0.021
Sm  0.780  0.285  0.715
Sm  0.280  0.715  0.285
Sm  0.821  0.021  0.979
Sm  0.337  0.100  0.533
Sm  0.837  0.533  0.100
Sm  0.054  0.373  0.261
Sm  0.554  0.261  0.373
Dy  0.482  0.957  0.704
Dy  0.982  0.704  0.957
Dy  0.079  0.413  0.587
Dy  0.579  0.587  0.413
Dy  0.982  0.043  0.296
Dy  0.482  0.296  0.043
Cd  0.058  0.155  0.845
Cd  0.558  0.845  0.155

***

Entry 3:
Density functional theory data (PBE-GGA) for crystalline Sm4Dy5Cd2 at its relaxed geometry.

Values from the calculation:
**Formation enthalpy at 0 K**: 1.00 kJ/mol of atoms
**M_tot**: 0.0 μB per formula unit
**N(E_F)**: 1.44 states/eV per atom

Lattice parameters (Å, degrees): 3.491 8.618 11.293 93.76 90.00 90.00
Atoms (fractional coordinates):
Sm  0.500  0.722  0.548
Sm  0.500  0.145  0.882
Sm  0.500  0.278  0.452
Sm  0.500  0.855  0.118
Dy  0.000  0.570  0.294
Dy  0.000  0.205  0.168
Dy  0.000  0.500  0.000
Dy  0.000  0.795  0.832
Dy  0.000  0.430  0.706
Cd  0.000  0.054  0.632
Cd  0.000  0.946  0.368

***

Entry 4:
Density functional theory data (PBE-GGA) for crystalline Sm3Dy2Cd3 at its relaxed geometry.

Values from the calculation:
**Formation enthalpy at 0 K**: -22.74 kJ/mol of atoms
**M_tot**: 0.0 μB per formula unit
**E above lowest polymorph**: 0.0 kJ/mol of atoms
**N(E_F)**: 1.35 states/eV per atom

Lattice parameters (Å, degrees): 3.762 5.451 11.680 103.50 99.27 90.00
Atoms (fractional coordinates):
Sm  0.377  0.377  0.753
Sm  0.623  0.623  0.247
Sm  0.500  0.000  0.000
Dy  0.266  0.766  0.531
Dy  0.734  0.234  0.469
Cd  0.881  0.881  0.761
Cd  0.000  0.500  0.000
Cd  0.119  0.119  0.239